(1)
Compound: DyPd6Au2
Source: Alexandria
Functional: GGA-PBE
Structure: relaxed

## Properties
- Density: 13.007 g/cm³
- Magnetic moment: 0.00 μB per formula unit
- ΔE to the lowest computed polymorph: 0.0 meV per atom
- Formation enthalpy at 0 K: -3.83 eV per formula unit

POSCAR file:
```
DyPd6Au2
1.0
0.274 4.981 0.390
-3.148 -2.581 2.905
6.155 1.765 4.065
Au Dy Pd
2 1 6
Direct
0.458 0.885 0.165
0.542 0.115 0.835
0.000 0.000 0.500
0.113 0.227 0.169
0.333 0.666 0.500
0.887 0.773 0.831
0.779 0.551 0.168
0.667 0.334 0.500
0.221 0.449 0.832
```



(2)
Compound: CaMg2Cr2
Source: Alexandria
Functional: GGA-PBE
Structure: relaxed

## Properties
- Density: 2.866 g/cm³
- Magnetic moment: 0.00 μB per formula unit
- ΔE to the lowest computed polymorph: 87.3 meV per atom
- Formation enthalpy at 0 K: 2.86 eV per formula unit

POSCAR file:
```
CaMg2Cr2
1.0
-3.591 2.050 1.691
-2.081 -3.937 0.353
-0.767 -1.574 6.181
Mg Cr Ca
2 2 1
Direct
0.750 0.250 0.500
0.250 0.750 0.500
0.579 0.579 0.842
0.421 0.421 0.158
0.000 0.000 0.000
```



(3)
Compound: K4InHg
Source: Alexandria
Functional: GGA-PBE
Structure: relaxed

## Properties
- Density: 2.806 g/cm³
- Magnetic moment: 0.00 μB per formula unit
- ΔE to the lowest computed polymorph: 0.0 meV per atom
- Formation enthalpy at 0 K: -0.62 eV per formula unit

POSCAR file:
```
K4InHg
1.0
10.086 0.000 5.823
3.362 9.509 5.823
0.000 0.000 11.646
K Hg In
16 4 4
Direct
0.192 0.808 0.192
0.545 0.955 0.955
0.387 0.387 0.387
0.955 0.545 0.545
0.192 0.192 0.808
0.955 0.955 0.545
0.838 0.387 0.387
0.545 0.545 0.955
0.192 0.808 0.808
0.387 0.387 0.838
0.387 0.838 0.387
0.808 0.808 0.192
0.808 0.192 0.808
0.545 0.955 0.545
0.808 0.192 0.192
0.955 0.545 0.955
0.602 0.602 0.602
0.194 0.602 0.602
0.602 0.602 0.194
0.602 0.194 0.602
0.462 0.179 0.179
0.179 0.179 0.462
0.179 0.462 0.179
0.179 0.179 0.179
```



Number 1 is which compound? DyPd6Au2